Record 1
LiNdBiS3 (GGA-PBE, relaxed); space-group type = P2_1/m (11); formation energy without anion corrections = -1.1331 eV/atom
1.0
8.578 0.000 0.000
0.000 3.776 0.000
-1.204 0.000 9.184
Li Nd Bi S
2 2 2 6
Direct
0.089 0.250 0.088
0.911 0.750 0.912
0.292 0.750 0.841
0.708 0.250 0.159
0.318 0.750 0.339
0.682 0.250 0.661
0.037 0.250 0.817
0.365 0.250 0.080
0.376 0.250 0.624
0.624 0.750 0.376
0.635 0.750 0.920
0.963 0.750 0.183

Record 2
Li4LaOs (GGA-PBE, relaxed); space-group type = F-43m (216); formation energy from the elements = 1.46 eV/f.u.
1.0
0.000 3.678 3.678
3.678 0.000 3.678
3.678 3.678 0.000
Li La Os
4 1 1
Direct
0.120 0.120 0.120
0.120 0.120 0.640
0.120 0.640 0.120
0.640 0.120 0.120
0.500 0.500 0.500
0.750 0.750 0.750

Record 3
BeFeSi (GGA-PBE, relaxed); space-group type = Fdd2 (43); formation energy without anion corrections = -0.4498 eV/atom
1.0
0.000 3.915 3.600
2.086 0.000 3.600
2.086 3.915 0.000
Be Fe Si
2 2 2
Direct
0.000 0.000 0.000
0.250 0.250 0.250
0.326 0.326 0.674
0.576 0.576 0.924
0.664 0.664 0.336
0.914 0.914 0.586

Record 4
KAgHgAu2 (GGA-PBE, relaxed); space-group type = Imm2 (44); formation energy from the elements = -0.57 eV/f.u.
1.0
-2.204 2.226 6.379
2.204 -2.226 6.379
2.204 2.226 -6.379
K Ag Hg Au
1 1 1 2
Direct
0.000 0.000 0.000
0.265 0.765 0.500
0.620 0.620 0.000
0.404 0.404 0.000
0.766 0.266 0.500

Record 5
DyH3 (GGA-PBE, relaxed); final energy = -4.29 eV per atom; space-group type = P-3c1 (165)
1.0
6.297 0.000 0.000
-3.149 5.454 0.000
0.000 0.000 6.549
Dy H
6 18
Direct
0.000 0.337 0.250
0.000 0.663 0.750
0.337 0.000 0.250
0.337 0.337 0.750
0.663 0.000 0.750
0.663 0.663 0.250
0.000 0.000 0.250
0.000 0.000 0.750
0.028 0.350 0.907
0.028 0.678 0.407
0.322 0.350 0.407
0.322 0.972 0.907
0.333 0.667 0.183
0.333 0.667 0.683
0.350 0.028 0.593
0.350 0.322 0.093
0.650 0.678 0.907
0.650 0.972 0.407
0.667 0.333 0.317
0.667 0.333 0.817
0.678 0.028 0.093
0.678 0.650 0.593
0.972 0.322 0.593
0.972 0.650 0.093